1.
Density functional theory data (PBE) for crystalline AcZnRuN at its relaxed geometry.

Cell lengths 4.1907, 4.1907, 8.7737 Å; angles 90.00, 90.00, 90.00 degrees
With the nearest neighbours (Å) after each atom.
Space group P4/nmm (No. 129, origin choice 2)
Inequivalent atoms, fractional coordinates:
1 Ac 0.2500 0.2500 0.1665  1 N 2.51
2 Zn 0.2500 0.7500 0.5000  4 Ru 2.56
3 Ru 0.2500 0.2500 0.6669  1 N 1.87
4 N 0.2500 0.2500 0.8805  1 Ru 1.87

Calculated values
Its energy relative to the elements, uncorrected is -365 meV per atom.

2.
Density functional theory data (PBE) for crystalline ScAgOs2 at its relaxed geometry.

Cell lengths 3.0261, 4.6106, 9.3115 Å; angles 90.00, 90.00, 90.00 degrees
With the nearest neighbours (Å) after each atom.
Space group Cmmm (No. 65)
Inequivalent atoms, fractional coordinates:
1 Sc 0.0000 0.0000 0.0000  4 Os 2.68, 4 Sc 2.76
2 Ag 0.0000 0.0000 0.5000  6 Ag 2.76-3.03, 4 Os 2.88
3 Os 0.0000 0.5000 0.2374  2 Sc 2.68, 4 Os 2.76, 2 Ag 2.88

Calculated values
For the formation energy, the calculation gives 0.33 eV per atom. The value obtained for the energy above the lowest structure with this stoichiometry is 24.4 kJ/mol of atoms.

3.
Density functional theory data (PBE) for crystalline SrVH2N at its relaxed geometry.

Cell lengths 3.8250, 3.8250, 3.8492 Å; angles 90.00, 90.00, 90.00 degrees
With the nearest neighbours (Å) after each atom.
Space group P4/mmm (No. 123)
Inequivalent atoms, fractional coordinates:
1 Sr 0.0000 0.0000 0.0000  4 N 2.70, 8 H 2.71
2 V 0.5000 0.5000 0.5000  4 H 1.91, 2 N 1.92
3 H 0.0000 0.5000 0.5000  2 V 1.91
4 N 0.5000 0.5000 0.0000  2 V 1.92

4.
Density functional theory data (PBE) for crystalline Th2GaGe4Rh3 at its relaxed geometry.

Cell lengths 4.2857, 4.2857, 10.2489 Å; angles 90.00, 90.00, 90.00 degrees
With the nearest neighbours (Å) after each atom.
Space group P-4m2 (No. 115)
Inequivalent atoms, fractional coordinates:
1 Th 0.0000 0.5000 0.2439  8 Ge 3.26-3.29, 6 Rh 3.27-3.39, 2 Ga 3.39
2 Ga 0.0000 0.0000 0.5000  4 Ge 2.58
3 Ge 0.0000 0.0000 0.0000  4 Rh 2.49
4 Ge 0.0000 0.5000 0.6400  3 Rh 2.43-2.58, 2 Ga 2.58
5 Ge 0.5000 0.5000 0.0000  4 Rh 2.49
6 Rh 0.0000 0.5000 0.8767  5 Ge 2.43-2.49
7 Rh 0.5000 0.5000 0.5000  4 Ge 2.58

Calculated values
For the formation energy, the calculation gives -0.78 eV per atom.

5.
Density functional theory data (PBE) for crystalline PmNdEr5Th2 at its relaxed geometry.

Cell lengths 8.8417, 8.8417, 15.2256 Å; angles 90.00, 90.00, 90.00 degrees
With the nearest neighbours (Å) after each atom.
Space group I4/mcm (No. 140)
Inequivalent atoms, fractional coordinates:
1 Pm 0.0000 0.0000 0.2500  10 Er 3.61-3.81
2 Nd 0.0000 0.5000 0.2500  4 Er 3.10
3 Er 0.0000 0.0000 0.0000  4 Th 3.53, 8 Er 3.80, 2 Pm 3.81
4 Er 0.2067 0.2933 0.1373  1 Th 3.02, 1 Nd 3.10
5 Th 0.1186 0.3814 0.5000  1 Th 2.97, 2 Er 3.02

Calculated values
For the formation energy, the calculation gives 0.32 eV per atom.

6.
Density functional theory data (PBE) for crystalline LiIn at its relaxed geometry.

Cell lengths 5.3925, 4.8874, 6.1404 Å; angles 90.00, 90.00, 90.00 degrees
With the nearest neighbours (Å) after each atom.
Space group Pnma (No. 62)
Inequivalent atoms, fractional coordinates:
1 Li 0.0970 0.2500 0.1258  8 In 3.01-3.21, 4 Li 3.07-3.10
2 In 0.0766 0.2500 0.6279  8 Li 3.01-3.21, 4 In 3.02-3.09

Calculated values
For the formation energy, the calculation gives -0.28 eV per atom.

Calculated V (Å³/cell), listed in the same order as above: 154 130 56 188 1190 162
Calculated total energy (eV per formula unit), listed in the same order as above: -24.445 -30.338 -28.753 -66.208 -44.249 -5.209